1.
First-principles (PBE) data for SrInAsH2 after structural relaxation, as listed in Alexandria via LeMat-Bulk.

```
5
Lattice="4.4764 0.0000 0.0000 0.0000 4.4764 0.0000 0.0000 0.0000 6.0138" Properties=species:S:1:pos:R:3 pbc="T T T"
Sr 0.0000 0.0000 0.0000
In 2.2382 2.2382 0.0000
As 0.0000 0.0000 3.0069
H 0.0000 2.2382 3.0069
H 2.2382 0.0000 3.0069
```

Summary:
**SG**: P4/mmm
**Calculated volume**: 120.51 Å³ per cell
**Calculated total energy**: -2.641 eV/atom
**DOS(E_F)**: 0.68 states/eV per atom


2.
First-principles (PBE) data for SrIn2AsH after structural relaxation, as listed in Alexandria via LeMat-Bulk.

```
5
Lattice="5.9283 0.0000 0.0000 0.0000 5.9283 0.0000 0.0000 0.0000 3.5809" Properties=species:S:1:pos:R:3 pbc="T T T"
Sr 0.0000 0.0000 0.0000
In 0.0000 2.9642 1.7904
In 2.9642 0.0000 1.7904
As 2.9642 2.9642 1.7904
H 2.9642 2.9642 0.0000
```

Summary:
**SG**: P4/mmm
**Calculated volume**: 125.85 Å³ per cell
**Calculated total energy**: -2.939 eV/atom
**DOS(E_F)**: 0.56 states/eV per atom


3.
First-principles (PBE) data for TiInAsH2 after structural relaxation, as listed in Alexandria via LeMat-Bulk.

```
5
Lattice="3.8120 0.0000 0.0000 0.0000 3.8120 0.0000 0.0000 0.0000 5.7342" Properties=species:S:1:pos:R:3 pbc="T T T"
Ti 0.0000 0.0000 0.0000
In 0.0000 0.0000 2.8671
As 1.9060 1.9060 2.8671
H 0.0000 1.9060 0.0000
H 1.9060 0.0000 0.0000
```

Summary:
**SG**: P4/mmm
**Calculated volume**: 83.33 Å³ per cell
**Calculated total energy**: -4.062 eV/atom
**DOS(E_F)**: 0.69 states/eV per atom


4.
First-principles (PBE) data for VInAs2H after structural relaxation, as listed in Alexandria via LeMat-Bulk.

```
5
Lattice="5.3223 0.0000 0.0000 0.0000 5.3223 0.0000 0.0000 0.0000 3.3881" Properties=species:S:1:pos:R:3 pbc="T T T"
V 0.0000 0.0000 0.0000
In 2.6611 2.6611 1.6940
As 0.0000 2.6611 1.6940
As 2.6611 0.0000 1.6940
H 2.6611 2.6611 0.0000
```

Summary:
**SG**: P4/mmm
**Calculated volume**: 95.97 Å³ per cell
**Calculated total energy**: -4.284 eV/atom
**DOS(E_F)**: 0.96 states/eV per atom


5.
First-principles (PBE) data for V2InAsH after structural relaxation, as listed in Alexandria via LeMat-Bulk.

```
5
Lattice="4.9432 0.0000 0.0000 0.0000 4.9432 0.0000 0.0000 0.0000 5.8991" Properties=species:S:1:pos:R:3 pbc="T T T"
V 0.0000 2.4716 0.0000
V 2.4716 0.0000 0.0000
In 0.0000 0.0000 2.9495
As 0.0000 0.0000 0.0000
H 2.4716 2.4716 2.9495
```

Summary:
**SG**: P4/mmm
**Calculated volume**: 144.15 Å³ per cell
**Calculated total energy**: -4.624 eV/atom
**DOS(E_F)**: 1.34 states/eV per atom


6.
First-principles (PBE) data for YInAsH2 after structural relaxation, as listed in Alexandria via LeMat-Bulk.

```
5
Lattice="4.1467 0.0000 0.0000 0.0000 4.1467 0.0000 0.0000 0.0000 5.7939" Properties=species:S:1:pos:R:3 pbc="T T T"
Y 0.0000 0.0000 0.0000
In 2.0734 2.0734 2.8970
As 0.0000 0.0000 2.8970
H 0.0000 2.0734 0.0000
H 2.0734 0.0000 0.0000
```

Summary:
**SG**: P4/mmm
**Calculated volume**: 99.63 Å³ per cell
**Calculated total energy**: -4.404 eV/atom
**DOS(E_F)**: 0.20 states/eV per atom


7.
First-principles (PBE) data for As2HIr after structural relaxation, as listed in Alexandria via LeMat-Bulk.

```
8
Lattice="-2.5855 2.5855 4.9923 2.5855 -2.5855 4.9923 2.5855 2.5855 -4.9923" Properties=species:S:1:pos:R:3 pbc="T T T"
As 3.8782 1.0299 -1.2481
As 1.0299 1.2927 1.2481
As -1.2927 1.5555 3.7442
As 1.5555 1.2927 6.2404
H 0.0000 0.0000 0.0000
H 0.0000 2.5855 2.4961
Ir 2.5855 0.0000 2.4961
Ir 0.0000 0.0000 4.9923
```

Summary:
**SG**: I-42d
**Calculated volume**: 133.49 Å³ per cell
**Calculated total energy**: -5.048 eV/atom
**DOS(E_F)**: 0.31 states/eV per atom


8.
First-principles (PBE) data for As3HIr after structural relaxation, as listed in Alexandria via LeMat-Bulk.

```
5
Lattice="4.1637 0.0000 0.0000 0.0000 4.1637 0.0000 0.0000 0.0000 4.1637" Properties=species:S:1:pos:R:3 pbc="T T T"
As 0.0000 0.0000 2.0818
As 0.0000 2.0818 0.0000
As 2.0818 0.0000 0.0000
H 0.0000 0.0000 0.0000
Ir 2.0818 2.0818 2.0818
```

Summary:
**SG**: Pm-3m
**Calculated volume**: 72.18 Å³ per cell
**Calculated total energy**: -4.581 eV/atom
**DOS(E_F)**: 0.62 states/eV per atom


9.
First-principles (PBE) data for As3HIr after structural relaxation, as listed in Alexandria via LeMat-Bulk.

```
5
Lattice="4.8526 0.0000 0.0000 0.0000 4.8526 0.0000 0.0000 0.0000 4.8526" Properties=species:S:1:pos:R:3 pbc="T T T"
As 0.0000 0.0000 2.4263
As 0.0000 2.4263 0.0000
As 2.4263 0.0000 0.0000
H 2.4263 2.4263 2.4263
Ir 0.0000 0.0000 0.0000
```

Summary:
**SG**: Pm-3m
**Calculated volume**: 114.27 Å³ per cell
**Calculated total energy**: -4.164 eV/atom
**DOS(E_F)**: 0.77 states/eV per atom


10.
First-principles (PBE) data for AsH3Ir after structural relaxation, as listed in Alexandria via LeMat-Bulk.

```
5
Lattice="3.5755 0.0000 0.0000 0.0000 3.5755 0.0000 0.0000 0.0000 3.5755" Properties=species:S:1:pos:R:3 pbc="T T T"
As 0.0000 0.0000 0.0000
H 0.0000 1.7877 1.7877
H 1.7877 0.0000 1.7877
H 1.7877 1.7877 0.0000
Ir 1.7877 1.7877 1.7877
```

Summary:
**SG**: Pm-3m
**Calculated volume**: 45.71 Å³ per cell
**Calculated total energy**: -4.261 eV/atom
**DOS(E_F)**: 0.24 states/eV per atom


11.
First-principles (PBE) data for AsH2Ir2 after structural relaxation, as listed in Alexandria via LeMat-Bulk.

```
5
Lattice="-1.5816 1.5816 5.2482 1.5816 -1.5816 5.2482 1.5816 1.5816 -5.2482" Properties=species:S:1:pos:R:3 pbc="T T T"
As 0.0000 0.0000 0.0000
H 1.5816 0.0000 2.6241
H 0.0000 1.5816 2.6241
Ir 0.0000 0.0000 3.7788
Ir 0.0000 0.0000 6.7175
```

Summary:
**SG**: I4/mmm
**Calculated volume**: 52.52 Å³ per cell
**Calculated total energy**: -5.500 eV/atom
**DOS(E_F)**: 0.52 states/eV per atom


12.
First-principles (PBE) data for As2HIr after structural relaxation, as listed in Alexandria via LeMat-Bulk.

```
4
Lattice="0.0000 3.0113 3.0113 3.0113 0.0000 3.0113 3.0113 3.0113 0.0000" Properties=species:S:1:pos:R:3 pbc="T T T"
As 1.5056 1.5056 1.5056
As 4.5169 4.5169 4.5169
H 0.0000 0.0000 0.0000
Ir 3.0113 3.0113 3.0113
```

Summary:
**SG**: Fm-3m
**Calculated volume**: 54.61 Å³ per cell
**Calculated total energy**: -5.090 eV/atom
**DOS(E_F)**: 0.54 states/eV per atom


> Which of these has the highest calculated total energy?

SrInAsH2


What did the ninth record say?
First-principles (PBE) data for As3HIr after structural relaxation, as listed in Alexandria via LeMat-Bulk.

```
5
Lattice="4.8526 0.0000 0.0000 0.0000 4.8526 0.0000 0.0000 0.0000 4.8526" Properties=species:S:1:pos:R:3 pbc="T T T"
As 0.0000 0.0000 2.4263
As 0.0000 2.4263 0.0000
As 2.4263 0.0000 0.0000
H 2.4263 2.4263 2.4263
Ir 0.0000 0.0000 0.0000
```

Summary:
**SG**: Pm-3m
**Calculated volume**: 114.27 Å³ per cell
**Calculated total energy**: -4.164 eV/atom
**DOS(E_F)**: 0.77 states/eV per atom


> The highest calculated total energy belongs to which entry?

SrInAsH2


> Which formula does entry 10 have?

AsH3Ir